No. 1
Here is an optimized crystal structure of YTe2Au2 from Alexandria. Energies are from PBE.

Geometry as POSCAR:
```
YTe2Au2
1.0
-2.919 -3.678 -2.941
4.709 -2.285 -1.817
0.890 -5.698 1.024
Te Au Y
2 2 1
direct
0.250 0.750 0.500
0.750 0.250 0.500
0.343 0.343 0.315
0.657 0.657 0.685
0.000 0.000 0.000
```

Values from the calculation:
Total magnetization ... 0.0 Bohr magnetons per cell
Crystal system ... tetragonal
E above lowest polymorph ... 0.171 eV/atom
Formation energy (no corrections) ... -0.32 eV per atom
Space group ... I4/mmm, No. 139



No. 2
Here is an optimized crystal structure of YTe2Au from Alexandria. Energies are from PBE.

Geometry as POSCAR:
```
YTe2Au
1.0
4.461 0.000 0.000
0.000 4.419 0.409
0.000 3.789 6.529
Au Y Te
1 1 2
direct
0.500 0.952 0.761
0.000 0.458 0.440
0.000 0.053 0.931
0.500 0.037 0.368
```

Values from the calculation:
Total magnetization ... 0.0 Bohr magnetons per cell
Crystal system ... monoclinic
Formation energy (no corrections) ... -0.84 eV per atom
Space group ... Pm, No. 6



No. 3
Here is an optimized crystal structure of YTe2Au from Alexandria. Energies are from PBE.

Geometry as POSCAR:
```
YTe2Au
1.0
7.847 0.000 0.000
0.000 4.270 0.000
0.000 0.000 15.944
Te Au Y
8 4 4
direct
0.105 0.750 0.233
0.255 0.250 0.990
0.605 0.750 0.267
0.245 0.750 0.490
0.745 0.750 0.010
0.895 0.250 0.767
0.755 0.250 0.510
0.395 0.250 0.733
0.357 0.250 0.246
0.143 0.750 0.746
0.643 0.750 0.754
0.857 0.250 0.254
0.903 0.750 0.402
0.097 0.250 0.598
0.403 0.750 0.098
0.597 0.250 0.902
```

Values from the calculation:
Total magnetization ... 0.0 Bohr magnetons per cell
Crystal system ... orthorhombic
Formation energy (no corrections) ... -0.77 eV per atom
Space group ... Pnma, No. 62



No. 4
Here is an optimized crystal structure of YTe2Au from Alexandria. Energies are from PBE.

Geometry as POSCAR:
```
YTe2Au
1.0
4.019 0.000 0.000
0.000 4.019 0.000
0.000 0.000 6.397
Te Y Au
2 1 1
direct
0.000 0.000 0.496
0.000 0.000 0.004
0.500 0.500 0.250
0.500 0.500 0.750
```

Values from the calculation:
Total magnetization ... 0.0 Bohr magnetons per cell
Crystal system ... tetragonal
Formation energy (no corrections) ... -0.62 eV per atom
Space group ... P4/mmm, No. 123



No. 5
Here is an optimized crystal structure of YTe2Au from Alexandria. Energies are from PBE.

Geometry as POSCAR:
```
YTe2Au
1.0
4.981 -1.767 -0.282
0.942 -5.159 -0.711
1.939 -1.725 -4.613
Te Au Y
2 1 1
direct
0.250 0.250 0.250
0.750 0.750 0.750
0.500 0.500 0.500
0.000 0.000 0.000
```

Values from the calculation:
Total magnetization ... 0.0 Bohr magnetons per cell
Crystal system ... cubic
Formation energy (no corrections) ... -0.53 eV per atom
Space group ... Fm-3m, No. 225



No. 6
Here is an optimized crystal structure of YTe2Au from Alexandria. Energies are from PBE.

Geometry as POSCAR:
```
YTe2Au
1.0
-2.152 5.588 2.377
-2.058 0.798 6.053
4.910 -2.479 -3.355
Te Au Y
2 1 1
direct
0.000 0.000 0.000
0.250 0.750 0.500
0.750 0.250 0.500
0.500 0.500 0.000
```

Values from the calculation:
Total magnetization ... 0.0 Bohr magnetons per cell
Crystal system ... tetragonal
Formation energy (no corrections) ... -0.64 eV per atom
Space group ... I-4m2, No. 119



No. 7
Here is an optimized crystal structure of Y4Te5Au from Alexandria. Energies are from PBE.

Geometry as POSCAR:
```
Y4Te5Au
1.0
4.289 0.000 0.000
0.000 8.931 -0.576
-2.145 -1.902 9.272
Te Y Au
5 4 1
direct
0.164 0.326 0.328
0.836 0.674 0.672
0.163 0.839 0.326
0.837 0.161 0.674
0.500 0.500 0.000
0.002 0.259 0.005
0.328 0.906 0.656
0.998 0.741 0.995
0.672 0.094 0.344
0.500 0.000 0.000
```

Values from the calculation:
Total magnetization ... 0.0 Bohr magnetons per cell
Crystal system ... monoclinic
Formation energy (no corrections) ... -1.15 eV per atom
Space group ... C2/m, No. 12



No. 8
Here is an optimized crystal structure of Y2TeAu2 from Alexandria. Energies are from PBE.

Geometry as POSCAR:
```
Y2TeAu2
1.0
7.961 0.000 0.000
0.000 7.961 0.000
0.000 0.000 3.912
Y Au Te
4 4 2
direct
0.832 0.332 0.500
0.332 0.168 0.500
0.168 0.668 0.500
0.668 0.832 0.500
0.626 0.126 0.000
0.374 0.874 0.000
0.874 0.626 0.000
0.126 0.374 0.000
0.500 0.500 0.000
0.000 0.000 0.000
```

Values from the calculation:
Total magnetization ... 0.0 Bohr magnetons per cell
Crystal system ... tetragonal
E above lowest polymorph ... 0.000 eV/atom
Formation energy (no corrections) ... -0.88 eV per atom
Space group ... P4/mbm, No. 127



Question: Which formula does entry 1 have?
Answer: YTe2Au2



Question: What is the formula in the sixth record?
Answer: YTe2Au